# SrMoPt (PBE, optimized geometry)
data_SrMoPt
_chemical_formula_sum 'Sr4 Mo4 Pt4'
_symmetry_space_group_name_H-M 'C 1 2/m 1'
_symmetry_Int_Tables_number 12
_symmetry_space_group_name_Hall '-C 2y'
_cell_length_a 10.232
_cell_length_b 4.574
_cell_length_c 7.681
_cell_angle_alpha 90.00
_cell_angle_beta 130.81
_cell_angle_gamma 90.00
loop_
_atom_site_label
_atom_site_type_symbol
_atom_site_fract_x
_atom_site_fract_y
_atom_site_fract_z
Sr1 Sr 0.234 0.000 0.163
Mo1 Mo 0.085 0.000 0.445
Pt1 Pt 0.071 0.500 0.252
# * energy above the lowest structure with this stoichiometry: 6.5 kJ per mole of atoms
# * M_tot: 0.000 μB/f.u.
# * calculated density: 9.244 g cm⁻³
# * DFT formation energy: -64.6 meV/atom
# * crystal system: monoclinic